1.
VASP calculation (PBE) on an optimized crystal structure of KZn2InBr6.

Computed properties:
uncorrected formation energy	-1008	meV per atom
space group	C2/c, No. 15

Lattice parameters (Å, degrees): 7.472 10.059 10.059 86.91 80.91 80.91
Sites, in units of the cell vectors:
Br: 0.356 0.876 0.400
K: 0.250 0.320 0.680
In: 0.250 0.899 0.101
Br: 0.479 0.603 0.681
Br: 0.144 0.600 0.124
Zn: 0.752 0.201 0.377
Br: 0.821 0.026 0.216
Zn: 0.748 0.623 0.799
Br: 0.679 0.784 0.974
Br: 0.321 0.216 0.026
Zn: 0.252 0.377 0.201
Br: 0.979 0.681 0.603
Br: 0.856 0.400 0.876
Zn: 0.248 0.799 0.623
Br: 0.179 0.974 0.784
Br: 0.644 0.124 0.600
Br: 0.021 0.319 0.397
Br: 0.521 0.397 0.319
In: 0.750 0.101 0.899
K: 0.750 0.680 0.320

***

2.
VASP calculation (PBE) on an optimized crystal structure of Tl2SnSb2Pb.

Computed properties:
uncorrected formation energy	1	meV per atom
space group	Pmc2_1, No. 26

Lattice parameters (Å, degrees): 5.694 6.940 9.444 90.00 90.00 90.00
Sites, in units of the cell vectors:
Tl: 0.000 0.777 0.842
Sb: 0.500 0.281 0.363
Sn: 0.500 0.710 0.321
Tl: 0.500 0.019 0.037
Sn: 0.500 0.210 0.679
Tl: 0.500 0.519 0.963
Tl: 0.000 0.277 0.158
Sb: 0.000 0.282 0.803
Pb: 0.000 0.477 0.495
Sb: 0.500 0.781 0.637
Pb: 0.000 0.977 0.505
Sb: 0.000 0.782 0.197

***

3.
VASP calculation (PBE) on an optimized crystal structure of YCdP2.

Computed properties:
DFT formation energy	-468	meV/atom
space group	Imm2, No. 44

Lattice parameters (Å, degrees): 6.123 6.123 6.123 143.34 142.40 53.52
Sites, in units of the cell vectors:
P: 0.013 0.013 0.000
P: 0.783 0.283 0.500
Y: 0.480 0.480 0.000
Cd: 0.224 0.724 0.500

***

4.
VASP calculation (PBE) on an optimized crystal structure of Nd8Pt3I4Cl.

Computed properties:
uncorrected formation energy	-1097	meV per atom
space group	R-3m, No. 166

Lattice parameters (Å, degrees): 8.605 9.367 8.604 117.36 120.00 90.00
Sites, in units of the cell vectors:
I: 0.500 0.000 0.500
I: 0.000 0.000 0.500
I: 0.500 0.000 0.000
Pt: 0.500 0.500 0.000
Nd: 0.760 0.304 0.519
Nd: 0.240 0.696 0.481
Nd: 0.240 0.696 0.956
Nd: 0.716 0.696 0.956
Pt: 0.000 0.500 0.500
Cl: 0.000 0.500 0.000
Pt: 0.500 0.500 0.500
Nd: 0.727 0.682 0.455
Nd: 0.273 0.318 0.545
Nd: 0.284 0.304 0.044
Nd: 0.760 0.304 0.044
I: 0.000 0.000 0.000

***

5.
VASP calculation (PBE) on an optimized crystal structure of La3Tl3SbS8.

Computed properties:
uncorrected formation energy	-1224	meV per atom
space group	R-3m, No. 166

Lattice parameters (Å, degrees): 8.392 8.394 8.974 117.88 90.00 120.00
Sites, in units of the cell vectors:
S: 0.218 0.975 0.693
S: 0.265 0.531 0.296
S: 0.218 0.437 0.693
Sb: 0.000 0.000 0.500
S: 0.735 0.469 0.704
S: 0.782 0.025 0.307
La: 0.500 0.500 0.500
La: 0.500 0.000 0.500
S: 0.782 0.563 0.307
La: 0.000 0.500 0.500
S: 0.756 0.975 0.693
Tl: 0.000 0.500 0.000
Tl: 0.500 0.500 0.000
Tl: 0.000 0.000 0.000
S: 0.244 0.025 0.307

***

Number 1: energy -53.0 eV per cell, spin magnetization 0.00 μB/cell. Number 2: energy -41.4 eV per cell, spin magnetization 0.00 μB/cell. Number 3: energy -20.1 eV per cell, spin magnetization 0.00 μB/cell. Number 4: energy -81.9 eV per cell, spin magnetization 0.00 μB/cell. Number 5: energy -77.4 eV per cell, spin magnetization 0.00 μB/cell.